# CsAsI2O (GGA-PBEsol, relaxed)
# Calculated total energy   -3.729 eV/atom
# E above lowest polymorph   0.000 eV/atom
# ΔE_f (raw)   -0.763 eV per atom
# Volume   29.39 Å³ per atom
data_CsAsI2O
_cell_length_a 6.136
_cell_length_b 6.136
_cell_length_c 3.904
_cell_angle_alpha 90.00
_cell_angle_beta 90.00
_cell_angle_gamma 90.00
_symmetry_space_group_name_H-M 'P 4/m m m'
_symmetry_Int_Tables_number 123
_symmetry_space_group_name_Hall '-P 4 2'
loop_
_atom_site_label
_atom_site_type_symbol
_atom_site_fract_x
_atom_site_fract_y
_atom_site_fract_z
_atom_site_occupancy
Cs1 Cs 0.000 0.000 0.000 1
As1 As 0.500 0.500 0.500 1
I1 I 0.000 0.500 0.500 1
O1 O 0.500 0.500 0.000 1



# PtRhIN2 (GGA-PBEsol, relaxed)
# Calculated total energy   -5.526 eV/atom
# E above lowest polymorph   0.125 eV/atom
# ΔE_f (raw)   1.258 eV per atom
# Volume   21.26 Å³ per atom
data_PtRhIN2
_cell_length_a 3.703
_cell_length_b 3.703
_cell_length_c 7.754
_cell_angle_alpha 90.00
_cell_angle_beta 90.00
_cell_angle_gamma 90.00
_symmetry_space_group_name_H-M 'P 4/m m m'
_symmetry_Int_Tables_number 123
_symmetry_space_group_name_Hall '-P 4 2'
loop_
_atom_site_label
_atom_site_type_symbol
_atom_site_fract_x
_atom_site_fract_y
_atom_site_fract_z
_atom_site_occupancy
Pt1 Pt 0.000 0.000 0.000 1
Rh1 Rh 0.500 0.500 0.500 1
I1 I 0.000 0.000 0.500 1
N1 N 0.000 0.500 0.000 1